4
Lattice="-1.773 -2.517 -3.079 1.799 -3.512 1.839 -2.546 -0.376 1.773" Properties=species:S:1:pos:R:3 comment="GGA-PBE CoReSe2, relaxed" crystal_system=tetragonal magmom_total_mub_per_fu=0.7 raw_formation_energy_kcal_per_mol_atoms=12.13 spacegroup=P4/mmm pbc="T T T"
Co -2.159 -1.446 -0.653
Se 0.013 -3.015 -0.620
Re -0.373 -1.944 1.806
Se 0.000 0.000 0.000


12
Lattice="3.705 0.000 0.000 0.000 5.714 0.000 0.000 0.000 11.061" Properties=species:S:1:pos:R:3 comment="GGA-PBE ErTh2FeC2, relaxed" crystal_system=orthorhombic magmom_total_mub_per_fu=1.0 delta_e_f_ev_per_atom=-0.1397 spacegroup=Pnnm pbc="T T T"
C 1.852 4.375 4.339
C 0.000 4.196 9.869
Fe 0.000 0.000 0.000
Th 0.000 3.035 3.254
C 1.852 1.339 6.722
Th 1.852 5.535 8.784
Th 1.852 0.179 2.277
Th 0.000 2.678 7.807
Fe 1.852 2.857 5.531
Er 0.000 0.000 5.531
C 0.000 1.518 1.192
Er 1.852 2.857 0.000


8
Lattice="5.763 0.000 0.000 2.882 4.417 0.152 2.882 0.513 4.390" Properties=species:S:1:pos:R:3 comment="GGA-PBE Li2AcIO4, relaxed" crystal_system=tetragonal magmom_total_mub_per_fu=0.0 raw_formation_energy_kcal_per_mol_atoms=-35.07 spacegroup=I-42m pbc="T T T"
O 7.169 2.638 4.343
I 5.763 2.465 2.271
Li 2.882 1.232 1.135
Li 8.645 3.698 3.407
O 7.169 2.292 0.199
Ac 0.000 0.000 0.000
O 4.357 4.544 2.273
O 4.357 0.386 2.268